No. 1
The following is a DFT calculation (PBE) of crystalline PmDy3N at its relaxed geometry.

Calculated values
Fermi-level density of states (states/eV/atom): 1.46
Raw total energy (eV per cell): -29.38
Raw formation energy (eV per atom): -0.50

a b c (Å): 4.9802 4.9802 4.9802
angles (deg): 90.00 90.00 90.00
Closest atoms and distances in Å follow each position.
Space group Pm-3m (No. 221)
Unique sites:
Pm: 0.0000 0.0000 0.0000 [1 per cell]  12 Dy 3.52
Dy: 0.0000 0.5000 0.5000 [3 per cell]  2 N 2.49
N: 0.5000 0.5000 0.5000 [1 per cell]  6 Dy 2.49

No. 2
The following is a DFT calculation (PBE) of crystalline PmDyN at its relaxed geometry.

Calculated values
Fermi-level density of states (states/eV/atom): 0.96
Raw total energy (eV per cell): -75.80
Raw formation energy (eV per atom): -0.42
Excess energy over the best structure of this formula in the dataset (meV/atom): 540

a b c (Å): 3.2906 26.5877 3.4037
angles (deg): 90.00 90.00 90.00
Closest atoms and distances in Å follow each position.
Space group Cmcm (No. 63)
Unique sites:
Pm: 0.0000 0.2016 0.2500 [4 per cell]  8 Pm 3.29-3.50
Dy: 0.0000 0.0560 0.2500 [4 per cell]  4 N 2.37
N: 0.0000 0.4477 0.2500 [4 per cell]  4 Dy 2.37

No. 3
The following is a DFT calculation (PBE) of crystalline PmDyN at its relaxed geometry.

Calculated values
Fermi-level density of states (states/eV/atom): 0.96
Raw total energy (eV per cell): -20.57
Raw formation energy (eV per atom): -0.96
Excess energy over the best structure of this formula in the dataset (meV/atom): 0

a b c (Å): 3.5419 3.5419 6.2010
angles (deg): 90.00 90.00 120.00
Closest atoms and distances in Å follow each position.
Space group P3m1 (No. 156)
Unique sites:
Pm: 0.0000 0.0000 0.0000 [1 per cell]  3 N 2.53
Dy: 0.3333 0.6667 0.5617 [1 per cell]  3 N 2.38
N: 0.6667 0.3333 0.7588 [1 per cell]  3 Dy 2.38, 3 Pm 2.53

No. 4
The following is a DFT calculation (PBE) of crystalline Pm3Dy2N4 at its relaxed geometry.

Calculated values
Fermi-level density of states (states/eV/atom): 0.53
Raw total energy (eV per cell): -138.10
Raw formation energy (eV per atom): -1.37

a b c (Å): 6.1486 3.5507 14.8619
angles (deg): 90.00 90.09 90.00
Closest atoms and distances in Å follow each position.
Space group C2/m (No. 12)
Unique sites:
Pm: 0.0000 0.0000 0.0000 [2 per cell]  6 N 2.56-2.57
Pm: 0.1654 0.5000 0.6196 [4 per cell]  3 N 2.41
Dy: 0.1673 0.5000 0.1896 [4 per cell]  6 N 2.41-2.58
N: 0.0010 0.0000 0.2946 [4 per cell]  3 Pm 2.41, 3 Dy 2.58
N: 0.1663 0.5000 0.8962 [4 per cell]  3 Dy 2.41, 3 Pm 2.56-2.57

No. 5
The following is a DFT calculation (PBE) of crystalline PmDy3N4 at its relaxed geometry.

Calculated values
Fermi-level density of states (states/eV/atom): 0.05
Raw total energy (eV per cell): -129.73
Raw formation energy (eV per atom): -1.63
Excess energy over the best structure of this formula in the dataset (meV/atom): 0

a b c (Å): 6.0786 7.0242 6.0773
angles (deg): 90.00 109.46 90.00
Closest atoms and distances in Å follow each position.
Space group P2/c (No. 13)
Unique sites:
Pm: 0.0000 0.1268 0.2500 [2 per cell]  6 N 2.50-2.53
Dy: 0.0000 0.3758 0.7500 [2 per cell]  6 N 2.47-2.48
Dy: 0.5000 0.1277 0.7500 [2 per cell]  6 N 2.44-2.51
Dy: 0.5000 0.3757 0.2500 [2 per cell]  6 N 2.45-2.49
N: 0.2520 0.3770 0.5042 [4 per cell]  5 Dy 2.45-2.49, 1 Pm 2.50
N: 0.2565 0.1308 0.9986 [4 per cell]  4 Dy 2.44-2.51, 2 Pm 2.52-2.53

No. 6
The following is a DFT calculation (PBE) of crystalline Pm2Dy3N4 at its relaxed geometry.

Calculated values
Fermi-level density of states (states/eV/atom): 0.47
Raw total energy (eV per cell): -138.66
Raw formation energy (eV per atom): -1.41

a b c (Å): 11.7445 3.5148 8.7427
angles (deg): 90.00 119.16 90.00
Closest atoms and distances in Å follow each position.
Space group C2/m (No. 12)
Unique sites:
Pm: 0.1041 0.0000 0.3868 [4 per cell]  4 N 2.42-2.62
Dy: 0.0000 0.5000 0.0000 [2 per cell]  6 N 2.49-2.50
Dy: 0.2081 0.5000 0.8158 [4 per cell]  5 N 2.34-2.50
N: 0.1052 0.0000 0.9075 [4 per cell]  5 Dy 2.34-2.50, 1 Pm 2.55
N: 0.1984 0.5000 0.2942 [4 per cell]  3 Pm 2.42-2.62, 3 Dy 2.49-2.50

Q: Look up the Fermi-level density of states of the third one.
A: 0.96 states/eV/atom

Q: Which value of Fermi-level density of states does entry 6 give?
A: 0.47 states/eV/atom

Q: What is the raw total energy in the first record?
A: -29.38 eV per cell